# CaTb12Nd6 GGA-PBE optimized geometry
# - Fermi-level density of states (states/eV per atom) = 1.474
# - DFT total energy (eV/f.u.) = -82.4
# - formation energy (eV per atom) = 0.197
# - magnetic moment (μB per formula unit) = 0.0
# - volume (Å³ per cell) = 1984.7
data_CaTb12Nd6
_chemical_formula_sum 'Ca3 Tb36 Nd18'
_cell_length_a 13.3910
_cell_length_b 13.3910
_cell_length_c 12.7802
_cell_angle_alpha 90.00
_cell_angle_beta 90.00
_cell_angle_gamma 120.00
_symmetry_space_group_name_H-M 'R -3 m'
_symmetry_Int_Tables_number 166
_symmetry_space_group_name_Hall '-R 3 2"'
loop_
_atom_site_label
_atom_site_type_symbol
_atom_site_fract_x
_atom_site_fract_y
_atom_site_fract_z
Ca1 Ca 0.0000 0.0000 0.0000
Tb1 Tb 0.0000 0.2590 0.5000
Tb2 Tb 0.0919 0.1838 0.2668
Nd1 Nd 0.0371 0.5185 0.6177

# Ca2TbNd4 GGA-PBE optimized geometry
# - Fermi-level density of states (states/eV per atom) = 1.752
# - DFT total energy (eV/f.u.) = -23.6
# - offset from the most stable computed form (meV/atom) = 464
# - formation energy (eV per atom) = 0.580
# - magnetic moment (μB per formula unit) = 0.7
# - volume (Å³ per cell) = 600.8
data_Ca2TbNd4
_chemical_formula_sum 'Ca4 Tb2 Nd8'
_cell_length_a 5.7752
_cell_length_b 5.7752
_cell_length_c 18.0145
_cell_angle_alpha 90.00
_cell_angle_beta 90.00
_cell_angle_gamma 90.00
_symmetry_space_group_name_H-M 'I 4/m m m'
_symmetry_Int_Tables_number 139
_symmetry_space_group_name_Hall '-I 4 2'
loop_
_atom_site_label
_atom_site_type_symbol
_atom_site_fract_x
_atom_site_fract_y
_atom_site_fract_z
Ca1 Ca 0.0000 0.0000 0.1266
Tb1 Tb 0.0000 0.0000 0.5000
Nd1 Nd 0.0000 0.0000 0.3275
Nd2 Nd 0.0000 0.5000 0.0000

# CaTb3Nd GGA-PBE optimized geometry
# - Fermi-level density of states (states/eV per atom) = 1.688
# - DFT total energy (eV/f.u.) = -19.0
# - formation energy (eV per atom) = 0.334
# - magnetic moment (μB per formula unit) = 0.0
# - volume (Å³ per cell) = 767.7
data_CaTb3Nd
_chemical_formula_sum 'Ca4 Tb12 Nd4'
_cell_length_a 6.7734
_cell_length_b 17.6827
_cell_length_c 6.4093
_cell_angle_alpha 90.00
_cell_angle_beta 90.00
_cell_angle_gamma 90.00
_symmetry_space_group_name_H-M 'C m c m'
_symmetry_Int_Tables_number 63
_symmetry_space_group_name_Hall '-C 2c 2'
loop_
_atom_site_label
_atom_site_type_symbol
_atom_site_fract_x
_atom_site_fract_y
_atom_site_fract_z
Ca1 Ca 0.0000 0.1887 0.2500
Tb1 Tb 0.0000 0.0000 0.0000
Tb2 Tb 0.2439 0.3691 0.2500
Nd1 Nd 0.0000 0.4423 0.7500

# CaTb4Nd GGA-PBE optimized geometry
# - Fermi-level density of states (states/eV per atom) = 1.542
# - DFT total energy (eV/f.u.) = -24.9
# - offset from the most stable computed form (meV/atom) = 0
# - formation energy (eV per atom) = 0.063
# - magnetic moment (μB per formula unit) = 0.0
# - volume (Å³ per cell) = 404.1
data_CaTb4Nd
_chemical_formula_sum 'Ca2 Tb8 Nd2'
_cell_length_a 12.0324
_cell_length_b 3.6119
_cell_length_c 10.2813
_cell_angle_alpha 90.00
_cell_angle_beta 115.26
_cell_angle_gamma 90.00
_symmetry_space_group_name_H-M 'C 1 2/m 1'
_symmetry_Int_Tables_number 12
loop_
_symmetry_equiv_pos_as_xyz
'x,y,z'
'-x,-y,-z'
'-x,y,-z'
'x,-y,z'
'x+1/2,y+1/2,z'
'-x+1/2,-y+1/2,-z'
'-x+1/2,y+1/2,-z'
'x+1/2,-y+1/2,z'
loop_
_atom_site_label
_atom_site_type_symbol
_atom_site_fract_x
_atom_site_fract_y
_atom_site_fract_z
Ca1 Ca 0.0000 0.0000 0.0000
Tb1 Tb 0.1681 0.5000 0.3408
Tb2 Tb 0.1689 0.5000 0.8263
Nd1 Nd 0.0000 0.0000 0.5000

# CaTbNd2 GGA-PBE optimized geometry
# - Fermi-level density of states (states/eV per atom) = 1.354
# - DFT total energy (eV/f.u.) = -16.0
# - offset from the most stable computed form (meV/atom) = 0
# - formation energy (eV per atom) = 0.034
# - magnetic moment (μB per formula unit) = 0.0
# - volume (Å³ per cell) = 427.2
data_CaTbNd2
_chemical_formula_sum 'Ca3 Tb3 Nd6'
_cell_length_a 3.6695
_cell_length_b 3.6695
_cell_length_c 36.6322
_cell_angle_alpha 90.00
_cell_angle_beta 90.00
_cell_angle_gamma 120.00
_symmetry_space_group_name_H-M 'R -3 m'
_symmetry_Int_Tables_number 166
_symmetry_space_group_name_Hall '-R 3 2"'
loop_
_atom_site_label
_atom_site_type_symbol
_atom_site_fract_x
_atom_site_fract_y
_atom_site_fract_z
Ca1 Ca 0.0000 0.0000 0.0000
Tb1 Tb 0.0000 0.0000 0.5000
Nd1 Nd 0.0000 0.0000 0.2455

# CaTbNd3 GGA-PBE optimized geometry
# - Fermi-level density of states (states/eV per atom) = 1.786
# - DFT total energy (eV/f.u.) = -19.1
# - offset from the most stable computed form (meV/atom) = 268
# - formation energy (eV per atom) = 0.361
# - magnetic moment (μB per formula unit) = 0.0
# - volume (Å³ per cell) = 1191.5
data_CaTbNd3
_chemical_formula_sum 'Ca6 Tb6 Nd18'
_cell_length_a 6.2215
_cell_length_b 6.2215
_cell_length_c 35.5456
_cell_angle_alpha 90.00
_cell_angle_beta 90.00
_cell_angle_gamma 120.00
_symmetry_space_group_name_H-M 'R -3'
_symmetry_Int_Tables_number 148
_symmetry_space_group_name_Hall '-R 3'
loop_
_atom_site_label
_atom_site_type_symbol
_atom_site_fract_x
_atom_site_fract_y
_atom_site_fract_z
Ca1 Ca 0.0000 0.0000 0.1667
Tb1 Tb 0.0000 0.0000 0.3336
Nd1 Nd 0.0033 0.6631 0.7454